Record 1
{
  "formula": "Li2CdTe2",
  "functional": "PBE",
  "state": "optimized geometry",
  "spacegroup": "P4/mbm, No. 127",
  "polymorph_energy_ev_per_fu": 0.00,
  "cell": [[8.775, 0.000, 0.000], [0.000, 8.775, 0.000], [0.000, 0.000, 3.202]],
  "species": ["Li", "Li", "Li", "Li", "Cd", "Cd", "Te", "Te", "Te", "Te"],
  "fractional_positions": [[0.133, 0.367, 0.000], [0.367, 0.867, 0.000], [0.633, 0.133, 0.000], [0.867, 0.633, 0.000], [0.000, 0.000, 0.500], [0.500, 0.500, 0.500], [0.166, 0.666, 0.500], [0.334, 0.166, 0.500], [0.666, 0.834, 0.500], [0.834, 0.334, 0.500]]
}

=====

Record 2
{
  "formula": "LiCdTe2",
  "functional": "PBE",
  "state": "optimized geometry",
  "spacegroup": "R-3m, No. 166",
  "cell": [[1.638, 0.945, 11.645], [-1.638, 0.945, 11.645], [0.000, -1.891, 11.645]],
  "species": ["Li", "Cd", "Te", "Te"],
  "fractional_positions": [[0.000, 0.000, 0.000], [0.500, 0.500, 0.500], [0.270, 0.270, 0.270], [0.730, 0.730, 0.730]]
}

=====

Record 3
{
  "formula": "LiCdTe2",
  "functional": "PBE",
  "state": "optimized geometry",
  "spacegroup": "Imm2, No. 44",
  "cell": [[-2.009, 2.082, 6.312], [2.009, -2.082, 6.312], [2.009, 2.082, -6.312]],
  "species": ["Li", "Cd", "Te", "Te"],
  "fractional_positions": [[0.000, 0.000, 0.000], [0.733, 0.233, 0.500], [0.330, 0.830, 0.500], [0.556, 0.556, 0.000]]
}

=====

Record 4
{
  "formula": "LiCdTe2",
  "functional": "PBE",
  "state": "optimized geometry",
  "spacegroup": "R3m, No. 160",
  "cell": [[2.218, 1.281, 6.557], [-2.218, 1.281, 6.557], [0.000, -2.561, 6.557]],
  "species": ["Li", "Cd", "Te", "Te"],
  "fractional_positions": [[0.000, 0.000, 0.000], [0.166, 0.166, 0.166], [0.580, 0.580, 0.580], [0.747, 0.747, 0.747]]
}

=====

Record 5
{
  "formula": "LiCd2Te2",
  "functional": "PBE",
  "state": "optimized geometry",
  "spacegroup": "I4/mmm, No. 139",
  "polymorph_energy_ev_per_fu": 0.57,
  "cell": [[-2.167, 2.167, 7.671], [2.167, -2.167, 7.671], [2.167, 2.167, -7.671]],
  "species": ["Li", "Cd", "Cd", "Te", "Te"],
  "fractional_positions": [[0.000, 0.000, 0.000], [0.250, 0.750, 0.500], [0.750, 0.250, 0.500], [0.395, 0.395, 0.000], [0.605, 0.605, 0.000]]
}

=====

Record 6
{
  "formula": "LiCdTe2",
  "functional": "PBE",
  "state": "optimized geometry",
  "spacegroup": "Immm, No. 71",
  "cell": [[-2.142, 3.074, 4.192], [2.142, -3.074, 4.192], [2.142, 3.074, -4.192]],
  "species": ["Li", "Cd", "Te", "Te"],
  "fractional_positions": [[0.000, 0.000, 0.000], [0.500, 0.500, 0.000], [0.261, 0.761, 0.500], [0.739, 0.239, 0.500]]
}

=====

Formation energy from raw total energies across the listed records, respectively: -0.520; -0.186; -0.349; -0.406; -0.230; -0.270 eV per atom.